Material: SrCaFeSnO6
Method: DFT, PBE with a Hubbard U
State: optimized geometry

abc: 7.996 7.996 7.996
angles: 90.00 90.00 90.00
Space group F-43m (No. 216)
Unique sites:
Sr: 0.000 0.000 0.000 [4 per cell]
Ca: 0.000 0.000 0.500 [4 per cell]
Fe: 0.250 0.250 0.750 [4 per cell]
Sn: 0.250 0.250 0.250 [4 per cell]
O: 0.005 0.250 0.750 [24 per cell]

Summary:
Calculated total energy in eV per atom: -6.28
Magnetization in μB/f.u.: 4.33